Compound: La2PrO3
Source: Alexandria
Functional: PBE-GGA
Structure: relaxed

Electronic total energy   -742.01 eV for the cell shown
Fermi-level density of states   0.347 states/eV per atom
Formation energy from raw total energies   -16.9 eV per formula unit

abc: 7.3045 10.2973 21.6397
angles: 90.00 90.00 90.00
Closest atoms and distances in Å follow each position.
Space group Fddd (No. 70, origin choice 2)
Symmetry-distinct sites (fractional):
La 0.1250 0.1250 0.0415 [16 per cell]  6 O 2.57-2.58
La 0.1250 0.1250 0.3750 [16 per cell]  6 O 2.56-2.57
Pr 0.1250 0.1250 0.5416 [16 per cell]  6 O 2.56-2.57
O 0.1247 0.3752 0.0417 [32 per cell]  2 Pr 2.56-2.57, 4 La 2.56-2.58
O 0.1252 0.3750 0.3750 [16 per cell]  2 Pr 2.57, 4 La 2.57